{"formula": "Sn2P2O7", "functional": "meta-GGA SCAN", "state": "single point on PBEsol structure", "cell": [[-1.6863, -3.1624, 5.8923], [5.8583, -3.6292, -0.2712], [12.0843, 18.5059, 13.3902]], "species": ["O", "O", "O", "P", "O", "O", "P", "O", "O", "O", "O", "O", "Sn", "O", "P", "P", "P", "O", "O", "O", "P", "Sn", "P", "O", "O", "O", "O", "O", "O", "O", "O", "O", "Sn", "Sn", "O", "O", "Sn", "O", "O", "O", "P", "O", "O", "P", "O", "P", "O", "O", "Sn", "O", "Sn", "O", "O", "P", "Sn", "Sn", "Sn", "O", "P", "Sn", "O", "O", "O", "P", "O", "O", "O", "O", "O", "P", "O", "Sn", "P", "O", "O", "Sn", "O", "O", "Sn", "O", "O", "P", "Sn", "O", "O", "O", "O", "Sn"], "frac_coords": [[0.0533, 0.1215, 0.0883], [0.7360, 0.1805, 0.8045], [0.9265, 0.3275, 0.1639], [0.0058, 0.3305, 0.5207], [0.6602, 0.5754, 0.6329], [0.8823, 0.1588, 0.5020], [0.3829, 0.7528, 0.5309], [0.0626, 0.4702, 0.4787], [0.8412, 0.8823, 0.7520], [0.2602, 0.6913, 0.5817], [0.7217, 0.8865, 0.8947], [0.3398, 0.4246, 0.1329], [0.3173, 0.7924, 0.3973], [0.1588, 0.1177, 0.2520], [0.6073, 0.7455, 0.8600], [0.3305, 0.9942, 0.2707], [0.6171, 0.2472, 0.0309], [0.4246, 0.6602, 0.8829], [0.3275, 0.0735, 0.9139], [0.7586, 0.0130, 0.1412], [0.6695, 0.0058, 0.7707], [0.7924, 0.6827, 0.1473], [0.9942, 0.6695, 0.0207], [0.5862, 0.2531, 0.5902], [0.9374, 0.5298, 0.9787], [0.1215, 0.9467, 0.8383], [0.7398, 0.3087, 0.0817], [0.1064, 0.5423, 0.7999], [0.2640, 0.8195, 0.3045], [0.2414, 0.9870, 0.6412], [0.1393, 0.2424, 0.7444], [0.7469, 0.5862, 0.8402], [0.6538, 0.9078, 0.6335], [0.1658, 0.8961, 0.7491], [0.8785, 0.0533, 0.3383], [0.4702, 0.9374, 0.2287], [0.7542, 0.4655, 0.7591], [0.4138, 0.7469, 0.0902], [0.2424, 0.8607, 0.4944], [0.6725, 0.9265, 0.4139], [0.2545, 0.6073, 0.1100], [0.5298, 0.0626, 0.7287], [0.9870, 0.7586, 0.3912], [0.1232, 0.8137, 0.6212], [0.8865, 0.2783, 0.6447], [0.7455, 0.3927, 0.6100], [0.3087, 0.2602, 0.8317], [0.1135, 0.7217, 0.1447], [0.2076, 0.3173, 0.6473], [0.0735, 0.6725, 0.6639], [0.0922, 0.6538, 0.8835], [0.8936, 0.4577, 0.2999], [0.8195, 0.7360, 0.0545], [0.7528, 0.6171, 0.2809], [0.5345, 0.7542, 0.0091], [0.2458, 0.5345, 0.2591], [0.1039, 0.1658, 0.9991], [0.5423, 0.8936, 0.5499], [0.8137, 0.8768, 0.3712], [0.4655, 0.2458, 0.5091], [0.9467, 0.8785, 0.5883], [0.5754, 0.3398, 0.3829], [0.4308, 0.4716, 0.7595], [0.3927, 0.2545, 0.3600], [0.5692, 0.5284, 0.2595], [0.2783, 0.1135, 0.3947], [0.1177, 0.8412, 0.0020], [0.2531, 0.4138, 0.3402], [0.6913, 0.7398, 0.3317], [0.8768, 0.1863, 0.1212], [0.4586, 0.1310, 0.3094], [0.9078, 0.3462, 0.3835], [0.1863, 0.1232, 0.8712], [0.0130, 0.2414, 0.8912], [0.1805, 0.2640, 0.5545], [0.3462, 0.0922, 0.1335], [0.4716, 0.5692, 0.5095], [0.7576, 0.1393, 0.9944], [0.8961, 0.8342, 0.4991], [0.4577, 0.1064, 0.0499], [0.8607, 0.7576, 0.2444], [0.2472, 0.3829, 0.7809], [0.6827, 0.2076, 0.8973], [0.1310, 0.5414, 0.0594], [0.8690, 0.4586, 0.5594], [0.5414, 0.8690, 0.8094], [0.5284, 0.4308, 0.0095], [0.8342, 0.1039, 0.2491]], "dft_energy_ev_per_atom": -14.45, "relative_energy_ev_per_atom": 0.020, "n_ef_per_ev_cell": 0.0, "formation_energy_uncorrected_ev_per_atom": -2.060}

{"formula": "Sn2P3O10", "functional": "meta-GGA SCAN", "state": "single point on PBEsol structure", "cell": [[-2.5938, 1.9500, 3.8811], [5.9714, -5.7348, 4.1972], [6.2268, 6.9674, 0.6608]], "species": ["O", "Sn", "O", "P", "P", "O", "O", "Sn", "O", "O", "O", "O", "P", "O", "O", "O", "O", "Sn", "O", "O", "O", "P", "P", "O", "Sn", "O", "O", "P", "O", "O"], "frac_coords": [[0.3098, 0.2151, 0.1128], [0.0446, 0.3453, 0.4572], [0.6902, 0.7849, 0.8872], [0.5483, 0.8145, 0.7500], [0.2576, 0.8549, 0.2500], [0.9027, 0.1680, 0.8873], [0.5444, 0.9868, 0.7500], [0.9554, 0.6547, 0.5428], [0.3098, 0.2151, 0.3872], [0.3499, 0.4316, 0.8866], [0.0973, 0.8320, 0.1127], [0.3499, 0.4316, 0.6134], [0.4517, 0.1855, 0.2500], [0.6902, 0.7849, 0.6128], [0.2184, 0.4902, 0.2500], [0.9027, 0.1680, 0.6127], [0.6501, 0.5684, 0.1134], [0.9554, 0.6547, 0.9572], [0.0973, 0.8320, 0.3873], [0.5156, 0.2385, 0.7500], [0.7816, 0.5098, 0.7500], [0.4930, 0.4086, 0.7500], [0.5070, 0.5914, 0.2500], [0.7581, 0.2592, 0.2500], [0.0446, 0.3453, 0.0428], [0.6501, 0.5684, 0.3866], [0.4556, 0.0132, 0.2500], [0.7424, 0.1451, 0.7500], [0.4844, 0.7615, 0.2500], [0.2419, 0.7408, 0.7500]], "dft_energy_ev_per_atom": -13.10, "n_ef_per_ev_cell": 3.4, "formation_energy_uncorrected_ev_per_atom": -2.079}

{"formula": "Sn8P2O13", "functional": "meta-GGA SCAN", "state": "single point on PBEsol structure", "cell": [[7.1912, 0.0403, -0.0214], [0.2879, 7.1855, -0.0214], [1.3761, 1.3295, 13.9549]], "species": ["O", "O", "O", "O", "Sn", "O", "O", "O", "Sn", "O", "O", "O", "O", "P", "Sn", "O", "P", "Sn", "O", "O", "O", "Sn", "O", "Sn", "P", "Sn", "O", "Sn", "O", "O", "Sn", "Sn", "P", "O", "Sn", "O", "Sn", "Sn", "O", "Sn", "O", "Sn", "O", "O", "O", "Sn"], "frac_coords": [[0.7059, 0.7059, 0.1463], [0.3381, 0.0559, 0.1847], [0.6362, 0.3412, 0.2232], [0.0435, 0.7867, 0.1346], [0.6564, 0.1750, 0.9012], [0.9565, 0.2133, 0.8654], [0.1466, 0.1466, 0.0100], [0.7460, 0.0793, 0.5727], [0.2567, 0.2567, 0.4918], [0.5668, 0.2594, 0.4444], [0.4332, 0.7406, 0.5556], [0.7338, 0.7338, 0.6617], [0.0559, 0.3381, 0.1847], [0.8508, 0.8508, 0.1008], [0.4089, 0.4089, 0.7089], [0.9441, 0.6619, 0.8153], [0.7455, 0.2545, 0.5000], [0.6862, 0.6862, 0.9056], [0.7406, 0.4332, 0.5556], [0.2540, 0.9207, 0.4273], [0.0793, 0.7460, 0.5727], [0.5407, 0.0888, 0.2960], [0.2941, 0.2941, 0.8537], [0.3138, 0.3138, 0.0944], [0.2545, 0.7455, 0.5000], [0.9112, 0.4593, 0.7040], [0.2133, 0.9565, 0.8654], [0.0688, 0.0688, 0.3023], [0.8534, 0.8534, 0.9900], [0.2594, 0.5668, 0.4444], [0.4593, 0.9112, 0.7040], [0.1750, 0.6564, 0.9012], [0.1492, 0.1492, 0.8992], [0.6619, 0.9441, 0.8153], [0.5911, 0.5911, 0.2911], [0.3638, 0.6588, 0.7768], [0.7433, 0.7433, 0.5082], [0.3436, 0.8250, 0.0988], [0.2662, 0.2662, 0.3383], [0.9312, 0.9312, 0.6977], [0.7867, 0.0435, 0.1346], [0.0888, 0.5407, 0.2960], [0.9207, 0.2540, 0.4273], [0.3412, 0.6362, 0.2232], [0.6588, 0.3638, 0.7768], [0.8250, 0.3436, 0.0988]], "dft_energy_ev_per_atom": -18.62, "n_ef_per_ev_cell": 0.0, "formation_energy_uncorrected_ev_per_atom": -1.704}

{"formula": "Sn2P2O9", "functional": "meta-GGA SCAN", "state": "single point on PBEsol structure", "cell": [[-2.3849, -1.8658, 5.7890], [7.1629, -2.9086, 2.0134], [3.5862, 12.6844, 5.5656]], "species": ["O", "O", "O", "O", "O", "Sn", "P", "O", "O", "O", "O", "Sn", "O", "O", "O", "O", "Sn", "O", "O", "O", "P", "P", "Sn", "O", "P", "Sn", "P", "O", "Sn", "O", "O", "O", "O", "O", "P", "O", "O", "O", "O", "O", "O", "O", "O", "O", "O", "P", "O", "O", "Sn", "O", "P", "Sn"], "frac_coords": [[0.2500, 0.7468, 0.2436], [0.4453, 0.5556, 0.6341], [0.5547, 0.0556, 0.8659], [0.0547, 0.9444, 0.1341], [0.7500, 0.9947, 0.5092], [0.0000, 0.5000, 0.5000], [0.7500, 0.0791, 0.8055], [0.9453, 0.4444, 0.3659], [0.2500, 0.3234, 0.5002], [0.5607, 0.6570, 0.8799], [0.5547, 0.4444, 0.3659], [0.5000, 0.5000, 0.5000], [0.4393, 0.1570, 0.6201], [0.2500, 0.0053, 0.4908], [0.2500, 0.8564, 0.9603], [0.7500, 0.8234, 0.9998], [0.5000, 0.0000, 0.0000], [0.9393, 0.6570, 0.8799], [0.9453, 0.0556, 0.8659], [0.0547, 0.5556, 0.6341], [0.2500, 0.9209, 0.1945], [0.7500, 0.8496, 0.4413], [0.0000, 0.0000, 0.0000], [0.7500, 0.9554, 0.7210], [0.2500, 0.1504, 0.5587], [0.7500, 0.1465, 0.6231], [0.2500, 0.3496, 0.0587], [0.0607, 0.3430, 0.1201], [0.7500, 0.3535, 0.1231], [0.2500, 0.6436, 0.4603], [0.2500, 0.1766, 0.0002], [0.7500, 0.5053, 0.0092], [0.7500, 0.2468, 0.2564], [0.7500, 0.1436, 0.0397], [0.7500, 0.4209, 0.3055], [0.2500, 0.4554, 0.7790], [0.4393, 0.3430, 0.1201], [0.7500, 0.6766, 0.4998], [0.2500, 0.4947, 0.9908], [0.4453, 0.9444, 0.1341], [0.0607, 0.1570, 0.6201], [0.7500, 0.3564, 0.5397], [0.2500, 0.0446, 0.2790], [0.9393, 0.8430, 0.3799], [0.5607, 0.8430, 0.3799], [0.7500, 0.6504, 0.9413], [0.2500, 0.7532, 0.7436], [0.7500, 0.2532, 0.7564], [0.2500, 0.8535, 0.3769], [0.7500, 0.5446, 0.2210], [0.2500, 0.5791, 0.6945], [0.2500, 0.6465, 0.8769]], "dft_energy_ev_per_atom": -13.53, "n_ef_per_ev_cell": 0.0, "formation_energy_uncorrected_ev_per_atom": -2.088}

{"formula": "Sn4P2O9", "functional": "meta-GGA SCAN", "state": "single point on PBEsol structure", "cell": [[-4.5852, -3.3859, 4.0692], [7.0061, -3.7379, 4.7843], [-3.5077, 12.6074, 6.5378]], "species": ["O", "Sn", "P", "O", "O", "O", "Sn", "O", "O", "Sn", "P", "O", "O", "O", "O", "O", "Sn", "O", "O", "O", "Sn", "Sn", "Sn", "Sn", "O", "Sn", "O", "O", "O", "O", "P", "O", "Sn", "P", "O", "Sn", "P", "O", "O", "Sn", "O", "Sn", "O", "O", "P", "Sn", "O", "O", "O", "Sn", "O", "P", "O", "Sn", "O", "O", "P", "O", "O", "O"], "frac_coords": [[0.5048, 0.0282, 0.6116], [0.7366, 0.3337, 0.3208], [0.2521, 0.3681, 0.3158], [0.6574, 0.9119, 0.8997], [0.6225, 0.7567, 0.6633], [0.2605, 0.5110, 0.9041], [0.4498, 0.7037, 0.4020], [0.1468, 0.4214, 0.7360], [0.7282, 0.1810, 0.4732], [0.0364, 0.3027, 0.5903], [0.2022, 0.9678, 0.1091], [0.2962, 0.7585, 0.8319], [0.1574, 0.0881, 0.6003], [0.0520, 0.3013, 0.2832], [0.7395, 0.4890, 0.0959], [0.4480, 0.3013, 0.7832], [0.2885, 0.0441, 0.8584], [0.3426, 0.0881, 0.1003], [0.2282, 0.8190, 0.0268], [0.6468, 0.5786, 0.7640], [0.9636, 0.6973, 0.4097], [0.7885, 0.9559, 0.6416], [0.2115, 0.0441, 0.3584], [0.7115, 0.9559, 0.1416], [0.8532, 0.5786, 0.2640], [0.0502, 0.7037, 0.9020], [0.8426, 0.9119, 0.3997], [0.2038, 0.7585, 0.3319], [0.2395, 0.5110, 0.4041], [0.2718, 0.8190, 0.5268], [0.7479, 0.6319, 0.6842], [0.7718, 0.1810, 0.9732], [0.7634, 0.3337, 0.8208], [0.7022, 0.0322, 0.3909], [0.0048, 0.9718, 0.8884], [0.5502, 0.2963, 0.5980], [0.7521, 0.6319, 0.1842], [0.2478, 0.9230, 0.2028], [0.7038, 0.2415, 0.1681], [0.2634, 0.6663, 0.6792], [0.1225, 0.2433, 0.8367], [0.4636, 0.3027, 0.0903], [0.7962, 0.2415, 0.6681], [0.7478, 0.0770, 0.2972], [0.2479, 0.3681, 0.8158], [0.2366, 0.6663, 0.1792], [0.2522, 0.9230, 0.7028], [0.3775, 0.2433, 0.3367], [0.4952, 0.9718, 0.3884], [0.5364, 0.6973, 0.9097], [0.9952, 0.0282, 0.1116], [0.2978, 0.9678, 0.6091], [0.3532, 0.4214, 0.2360], [0.9498, 0.2963, 0.0980], [0.7605, 0.4890, 0.5959], [0.8775, 0.7567, 0.1633], [0.7978, 0.0322, 0.8909], [0.5520, 0.6987, 0.2168], [0.7522, 0.0770, 0.7972], [0.9480, 0.6987, 0.7168]], "dft_energy_ev_per_atom": -16.61, "relative_energy_ev_per_atom": 0.000, "n_ef_per_ev_cell": 0.0, "formation_energy_uncorrected_ev_per_atom": -1.910}

{"formula": "SnPO2", "functional": "meta-GGA SCAN", "state": "single point on PBEsol structure", "cell": [[4.1090, 0.0000, 0.0000], [2.0545, 3.5585, 0.0000], [2.0545, 1.1862, 3.3550]], "species": ["P", "O", "Sn", "O"], "frac_coords": [[0.0000, 0.0000, 0.0000], [0.2500, 0.2500, 0.2500], [0.5000, 0.5000, 0.5000], [0.7500, 0.7500, 0.7500]], "dft_energy_ev_per_atom": -14.44, "n_ef_per_ev_cell": 1.5, "formation_energy_uncorrected_ev_per_atom": 0.259}

{"formula": "Sn4P3O12", "functional": "meta-GGA SCAN", "state": "single point on PBEsol structure", "cell": [[-5.8234, 0.4461, -3.6659], [4.6831, -3.0267, -7.8076], [-4.1725, -6.3529, 5.8550]], "species": ["O", "O", "Sn", "O", "O", "O", "O", "O", "Sn", "O", "P", "Sn", "O", "O", "Sn", "Sn", "Sn", "O", "O", "P", "O", "O", "O", "O", "O", "O", "O", "P", "P", "Sn", "O", "P", "Sn", "P", "O", "O", "O", "O"], "frac_coords": [[0.9399, 0.7132, 0.0693], [0.5835, 0.9094, 0.6434], [0.0401, 0.6667, 0.3333], [0.2679, 0.1070, 0.5988], [0.2679, 0.4012, 0.5082], [0.7323, 0.5019, 0.8385], [0.5835, 0.3566, 0.2660], [0.4399, 0.2868, 0.9307], [0.5401, 0.3333, 0.6667], [0.2323, 0.6634, 0.5019], [0.2503, 0.0222, 0.4123], [0.7246, 0.2580, 0.0252], [0.2323, 0.8385, 0.3366], [0.0835, 0.6434, 0.7340], [0.2246, 0.0252, 0.7672], [0.7246, 0.7672, 0.7420], [0.2246, 0.2328, 0.2580], [0.4399, 0.0693, 0.3561], [0.5835, 0.7340, 0.0906], [0.7503, 0.9778, 0.5877], [0.0835, 0.2660, 0.9094], [0.2679, 0.4918, 0.8930], [0.7679, 0.5988, 0.4918], [0.7679, 0.8930, 0.4012], [0.7323, 0.3366, 0.4981], [0.7323, 0.1615, 0.6634], [0.9399, 0.3561, 0.2868], [0.2503, 0.5877, 0.6099], [0.7503, 0.6099, 0.0222], [0.2246, 0.7420, 0.9748], [0.4399, 0.6439, 0.7132], [0.2503, 0.3901, 0.9778], [0.7246, 0.9748, 0.2328], [0.7503, 0.4123, 0.3901], [0.0835, 0.0906, 0.3566], [0.9399, 0.9307, 0.6439], [0.2323, 0.4981, 0.1615], [0.7679, 0.5082, 0.1070]], "dft_energy_ev_per_atom": -15.11, "relative_energy_ev_per_atom": 0.000, "formation_energy_uncorrected_ev_per_atom": -1.969}

{"formula": "Sn2P2O7", "functional": "meta-GGA SCAN", "state": "single point on PBEsol structure", "cell": [[5.2026, -0.0892, 0.0000], [-2.0646, 6.6186, 0.0000], [0.0000, 0.0000, 9.7087]], "species": ["O", "O", "O", "O", "O", "O", "Sn", "Sn", "O", "O", "Sn", "P", "O", "O", "O", "O", "Sn", "P", "O", "P", "P", "O"], "frac_coords": [[0.5000, 0.5000, 0.5000], [0.4086, 0.3033, 0.0414], [0.1212, 0.5411, 0.6461], [0.8788, 0.4589, 0.3539], [0.0000, 0.0000, 0.0000], [0.3788, 0.9589, 0.1461], [0.7766, 0.1207, 0.3808], [0.7234, 0.3793, 0.8808], [0.9086, 0.8033, 0.4586], [0.4112, 0.3290, 0.7318], [0.2766, 0.6207, 0.1192], [0.2726, 0.3930, 0.6095], [0.5914, 0.6967, 0.9586], [0.0914, 0.1967, 0.5414], [0.6212, 0.0411, 0.8539], [0.0888, 0.1710, 0.2318], [0.2234, 0.8793, 0.6192], [0.7274, 0.6070, 0.3905], [0.5888, 0.6710, 0.2682], [0.7726, 0.8930, 0.8905], [0.2274, 0.1070, 0.1095], [0.9112, 0.8290, 0.7682]], "dft_energy_ev_per_atom": -14.47, "relative_energy_ev_per_atom": 0.000, "n_ef_per_ev_cell": 0.0, "formation_energy_uncorrected_ev_per_atom": -2.080}

{"formula": "Sn4P3O12", "functional": "meta-GGA SCAN", "state": "single point on PBEsol structure", "cell": [[-0.8865, -2.5266, -8.9722], [-8.1271, -3.4577, -3.1089], [-5.5116, 5.5975, -5.9173]], "species": ["Sn", "O", "Sn", "Sn", "O", "O", "O", "O", "Sn", "O", "P", "O", "P", "P", "P", "O", "Sn", "O", "O", "O", "O", "P", "Sn", "O", "O", "Sn", "O", "O", "O", "O", "Sn", "O", "O", "O", "O", "O", "O", "P"], "frac_coords": [[0.7654, 0.6292, 0.5222], [0.5092, 0.6550, 0.6677], [0.1848, 0.1848, 0.4455], [0.2654, 0.5833, 0.0222], [0.1939, 0.7424, 0.8112], [0.3987, 0.2913, 0.5081], [0.6682, 0.1550, 0.1677], [0.0867, 0.3340, 0.6028], [0.6292, 0.0833, 0.5222], [0.7424, 0.2526, 0.8112], [0.2950, 0.8317, 0.1475], [0.8019, 0.3987, 0.5081], [0.7259, 0.2950, 0.1475], [0.3317, 0.7950, 0.6475], [0.2259, 0.3317, 0.6475], [0.0092, 0.6682, 0.1677], [0.0833, 0.7654, 0.5222], [0.8987, 0.3019, 0.0081], [0.6939, 0.7526, 0.3112], [0.9766, 0.0867, 0.6028], [0.2526, 0.1939, 0.8112], [0.8317, 0.7259, 0.1475], [0.6848, 0.6848, 0.9455], [0.6550, 0.1682, 0.6677], [0.5867, 0.4766, 0.1028], [0.1292, 0.2654, 0.0222], [0.3340, 0.9766, 0.6028], [0.3019, 0.7913, 0.0081], [0.4766, 0.8340, 0.1028], [0.7913, 0.8987, 0.0081], [0.5833, 0.1292, 0.0222], [0.2913, 0.8019, 0.5081], [0.8340, 0.5867, 0.1028], [0.2424, 0.6939, 0.3112], [0.7526, 0.2424, 0.3112], [0.1550, 0.0092, 0.1677], [0.1682, 0.5092, 0.6677], [0.7950, 0.2259, 0.6475]], "dft_energy_ev_per_atom": -15.08, "relative_energy_ev_per_atom": 0.025, "n_ef_per_ev_cell": 11.2, "formation_energy_uncorrected_ev_per_atom": -1.944}